CsGa2Ir | PBE | optimized geometry

Properties
- Crystal system: tetragonal
- Offset from the most stable computed form: 0.043 eV/atom
- DOS(E_F): 0.20 states/eV per atom
- DFT total energy: -4.12 eV/atom
- Space-group type: I4_1/amd, No. 141
- Formation energy: -0.7 eV/f.u.

```
CsGa2Ir
1.0
-3.327 3.327 6.675
3.327 -3.327 6.675
3.327 3.327 -6.675
Cs Ga Ir
2 4 2
direct
0.375 0.625 0.750
0.625 0.375 0.250
0.000 0.000 0.000
0.000 0.000 0.500
0.000 0.500 0.000
0.500 0.000 0.500
0.125 0.875 0.250
0.875 0.125 0.750
```


CsGa2Ir | PBE | optimized geometry

Properties
- Crystal system: cubic
- Offset from the most stable computed form: 0.939 eV/atom
- DOS(E_F): 0.74 states/eV per atom
- DFT total energy: -3.22 eV/atom
- Space-group type: Fm-3m, No. 225
- Formation energy: 2.9 eV/f.u.

```
CsGa2Ir
1.0
0.000 3.589 3.589
3.589 0.000 3.589
3.589 3.589 0.000
Cs Ga Ir
1 2 1
direct
0.000 0.000 0.000
0.250 0.250 0.250
0.750 0.750 0.750
0.500 0.500 0.500
```


Repeat the second record exactly.
CsGa2Ir | PBE | optimized geometry

Properties
- Crystal system: cubic
- Offset from the most stable computed form: 0.939 eV/atom
- DOS(E_F): 0.74 states/eV per atom
- DFT total energy: -3.22 eV/atom
- Space-group type: Fm-3m, No. 225
- Formation energy: 2.9 eV/f.u.

```
CsGa2Ir
1.0
0.000 3.589 3.589
3.589 0.000 3.589
3.589 3.589 0.000
Cs Ga Ir
1 2 1
direct
0.000 0.000 0.000
0.250 0.250 0.250
0.750 0.750 0.750
0.500 0.500 0.500
```


- Which of these has the lowest offset from the most stable computed form?
  number 1


- The highest offset from the most stable computed form belongs to which entry?
  number 2